Compound: NaCo3As
Source: the Alexandria database
Functional: PBE-GGA
Structure: relaxed

Summary:
ΔE_f: 1.84 eV per atom
Total DFT energy (no corrections): -3.617 eV/atom
V: 16.8 A^3/atom
Relative energy among the computed polymorphs: 6.292 eV per formula unit
SG: Pm-3m

Cell lengths 4.3799, 4.3799, 4.3799 Å; angles 90.00, 90.00, 90.00 degrees
Closest atoms and distances in Å follow each position.
Element x y z (fractional)
Co (0.5000, 0.0000, 0.0000)  2 Na 2.19
Co (0.0000, 0.5000, 0.0000)  2 Na 2.19
Co (0.0000, 0.0000, 0.5000)  2 Na 2.19
As (0.5000, 0.5000, 0.5000)  12 Co 3.10
Na (0.0000, 0.0000, 0.0000)  6 Co 2.19